1.
Computed, not measured: a relaxed structure of Tb2Pm6Dy3Tm at the PBE-GGA level of DFT.

```
Tb2Pm6Dy3Tm
1.0
-6.0637 -1.4423 0.2281
3.3656 0.1631 5.2485
-1.7353 11.7024 -0.4830
Pm Dy Tm Tb
6 3 1 2
direct
0.7508 0.7508 0.2501
0.5836 0.9164 0.7503
0.4164 0.0836 0.2497
0.2492 0.2492 0.7499
0.9164 0.5836 0.7503
0.0836 0.4164 0.2497
0.5000 0.5000 0.5000
0.1666 0.8334 0.5000
0.8334 0.1666 0.5000
0.0000 0.0000 0.0000
0.3334 0.6666 0.0000
0.6666 0.3334 0.0000
```

Properties
Energy of formation ... 1.2 kJ/mol of atoms
Theoretical density ... 7.798 g/cm³
Total DFT energy (no corrections) ... -55.89 eV for the cell shown


2.
Computed, not measured: a relaxed structure of GdTmTcNi at the PBE-GGA level of DFT.

```
GdTmTcNi
1.0
4.7918 0.0000 0.0000
2.3959 4.1498 0.0000
2.3959 1.3833 3.9125
Tm Gd Ni Tc
1 1 1 1
direct
0.5000 0.5000 0.5000
0.0000 0.0000 0.0000
0.2500 0.2500 0.2500
0.7500 0.7500 0.7500
```

Properties
Energy of formation ... -12.2 kJ/mol of atoms
Theoretical density ... 10.306 g/cm³
Total DFT energy (no corrections) ... -35.21 eV for the cell shown


3.
Computed, not measured: a relaxed structure of NbCdPt2 at the PBE-GGA level of DFT.

```
NbCdPt2
1.0
-2.8493 -0.3852 0.3976
0.3989 -2.8741 0.0743
1.0746 0.3572 8.0460
Pt Cd Nb
2 1 1
direct
0.0000 0.0000 0.7634
0.0000 0.0000 0.2366
0.5000 0.5000 0.5000
0.5000 0.5000 0.0000
```

Properties
Energy of formation ... -53.2 kJ/mol of atoms
Theoretical density ... 14.445 g/cm³
Total DFT energy (no corrections) ... -25.27 eV for the cell shown


4.
Computed, not measured: a relaxed structure of Tl2AgOsO4 at the PBE-GGA level of DFT.

```
Tl2AgOsO4
1.0
6.7955 0.0000 0.0000
3.3977 5.9702 0.0000
3.3977 0.0000 8.6391
Tl Os O Ag
4 2 8 2
direct
0.8213 0.0000 0.3574
0.1787 0.0000 0.6426
0.5713 0.5000 0.8574
0.9287 0.5000 0.1426
0.2500 0.5000 0.5000
0.5000 0.0000 0.0000
0.3641 0.7017 0.4313
0.2047 0.2983 0.4313
0.3859 0.7983 0.0687
0.5453 0.2017 0.0687
0.8157 0.7983 0.9313
0.9343 0.7017 0.5687
0.4970 0.2983 0.5687
0.2530 0.2017 0.9313
0.7500 0.5000 0.5000
0.0000 0.0000 0.0000
```

Properties
Theoretical density ... 7.304 g/cm³
Total DFT energy (no corrections) ... -85.26 eV for the cell shown
Uncorrected formation energy ... -498 meV/atom


5.
Computed, not measured: a relaxed structure of ThSc5Co6 at the PBE-GGA level of DFT.

```
ThSc5Co6
1.0
4.2807 -0.0254 1.4266
0.0341 6.3771 0.0114
0.0037 -0.0127 7.1248
Co Sc Th
6 5 1
direct
0.5000 0.7439 0.0000
0.1673 0.2527 0.6655
0.8327 0.7473 0.3345
0.8327 0.2527 0.3345
0.5000 0.2561 0.0000
0.1673 0.7473 0.6655
0.6681 0.5000 0.6638
0.6733 0.0000 0.6535
0.3267 0.0000 0.3465
0.0000 0.5000 0.0000
0.3319 0.5000 0.3362
0.0000 0.0000 0.0000
```

Properties
Energy of formation ... -30.5 kJ/mol of atoms
Theoretical density ... 6.920 g/cm³
Total DFT energy (no corrections) ... -85.51 eV for the cell shown


6.
Computed, not measured: a relaxed structure of SrCa2FeRh at the PBE-GGA level of DFT.

```
SrCa2FeRh
1.0
5.6346 0.0000 0.0000
0.0000 5.6346 0.0000
0.0000 0.0000 4.2849
Ca Sr Fe Rh
2 1 1 1
direct
0.5000 0.0000 0.0000
0.0000 0.5000 0.0000
0.0000 0.0000 0.0000
0.0000 0.0000 0.5000
0.5000 0.5000 0.5000
```

Properties
Energy of formation ... 154.8 kJ/mol of atoms
Theoretical density ... 3.986 g/cm³
Total DFT energy (no corrections) ... -13.48 eV for the cell shown